# 1
Entry from the Alexandria database: PrSmGd2 after structural relaxation (PBE-GGA).

Cell: 5.7628 5.7628 5.7628 Å, 60.00 60.00 60.00°
Last column: magnetic moment on the atom in μB.
Positions (direct):
Pr1 0.0000 0.0000 0.0000  0.22
Sm1 0.5000 0.5000 0.5000  0.19
Gd1 0.2500 0.2500 0.2500  7.34
Gd2 0.7500 0.7500 0.7500  7.34

Results
DFT total energy = -37.3 eV per formula unit
Space group = Fm-3m
ΔH_f (0 K) = 0.091 eV/atom
Polymorph energy (0 for the lowest one) = 74.1 meV per atom
Volume = 33.8 A^3/atom


# 2
Entry from the Alexandria database: PrSmGd after structural relaxation (PBE-GGA).

Cell: 3.6497 3.6497 8.8958 Å, 90.00 90.00 120.00°
Last column: magnetic moment on the atom in μB.
Positions (direct):
Sm1 0.6667 0.3333 0.3363  -0.03
Gd1 0.3333 0.6667 0.6644  7.20
Pr1 0.0000 0.0000 0.9993  -0.04

Results
DFT total energy = -23.5 eV per formula unit
Space group = P3m1
ΔH_f (0 K) = 0.017 eV/atom
Polymorph energy (0 for the lowest one) = 0.0 meV per atom
Volume = 34.2 A^3/atom


# 3
Entry from the Alexandria database: PrSm2Gd after structural relaxation (PBE-GGA).

Cell: 3.6475 3.6475 10.2644 Å, 90.00 90.00 90.00°
Last column: magnetic moment on the atom in μB.
Positions (direct):
Sm1 0.0000 0.0000 0.2464  -0.03
Sm2 0.0000 0.0000 0.7536  -0.03
Gd1 0.5000 0.5000 0.0000  7.15
Pr1 0.5000 0.5000 0.5000  -0.02

Results
DFT total energy = -28.2 eV per formula unit
Space group = P4/mmm
ΔH_f (0 K) = 0.020 eV/atom
Polymorph energy (0 for the lowest one) = 7.8 meV per atom
Volume = 34.1 A^3/atom


# 4
Entry from the Alexandria database: PrSmGd4 after structural relaxation (PBE-GGA).

Cell: 6.6476 6.6476 6.6476 Å, 60.00 60.00 60.00°
Last column: magnetic moment on the atom in μB.
Positions (direct):
Gd1 0.6248 0.1256 0.6248  7.17
Gd2 0.1256 0.6248 0.6248  7.17
Gd3 0.6248 0.6248 0.6248  7.17
Sm1 0.2500 0.2500 0.2500  -0.11
Gd4 0.6248 0.6248 0.1256  7.17
Pr1 0.0000 0.0000 0.0000  -0.12

Results
DFT total energy = -64.3 eV per formula unit
Space group = F-43m
ΔH_f (0 K) = 0.258 eV/atom
Volume = 34.6 A^3/atom